Entry 1:
Entry from Alexandria: a relaxed Na2CaHg2Pb2 crystal (PBE-GGA).

Geometry as CIF:
```
data_Na2CaHg2Pb2
_cell_length_a 5.2400
_cell_length_b 5.2400
_cell_length_c 24.0314
_cell_angle_alpha 90.00
_cell_angle_beta 90.00
_cell_angle_gamma 120.00
_space_group_name_H-M_alt 'R -3 m'
_space_group_IT_number 166
_space_group_name_Hall '-R 3 2"'
loop_
_atom_site_label
_atom_site_type_symbol
_atom_site_fract_x
_atom_site_fract_y
_atom_site_fract_z
Na1 Na 0.0000 0.0000 0.1484
Ca1 Ca 0.0000 0.0000 0.0000
Hg1 Hg 0.0000 0.0000 0.2819
Pb1 Pb 0.0000 0.0000 0.4229
```

E_form: -0.27 eV per atom
V: 571 Å³/cell

Entry 2:
Entry from Alexandria: a relaxed NaCaHg2Pb crystal (PBE-GGA).

Geometry as CIF:
```
data_NaCaHg2Pb
_cell_length_a 5.9789
_cell_length_b 16.9514
_cell_length_c 5.9605
_cell_angle_alpha 90.00
_cell_angle_beta 90.00
_cell_angle_gamma 90.00
_space_group_name_H-M_alt 'C m c m'
_space_group_IT_number 63
_space_group_name_Hall '-C 2c 2'
loop_
_atom_site_label
_atom_site_type_symbol
_atom_site_fract_x
_atom_site_fract_y
_atom_site_fract_z
Na1 Na 0.0000 0.1460 0.2500
Ca1 Ca 0.0000 0.3517 0.2500
Hg1 Hg 0.2470 0.0000 0.0000
Pb1 Pb 0.0000 0.2467 0.7500
```

E_form: -0.21 eV per atom
V: 604 Å³/cell

Entry 3:
Entry from Alexandria: a relaxed NaCaHg2Pd crystal (PBE-GGA).

Geometry as CIF:
```
data_NaCaHg2Pd
_cell_length_a 5.3794
_cell_length_b 5.3794
_cell_length_c 5.2380
_cell_angle_alpha 90.00
_cell_angle_beta 90.00
_cell_angle_gamma 90.00
_space_group_name_H-M_alt 'P 4/m m m'
_space_group_IT_number 123
_space_group_name_Hall '-P 4 2'
loop_
_atom_site_label
_atom_site_type_symbol
_atom_site_fract_x
_atom_site_fract_y
_atom_site_fract_z
Na1 Na 0.0000 0.0000 0.0000
Ca1 Ca 0.5000 0.5000 0.0000
Hg1 Hg 0.0000 0.5000 0.5000
Pd1 Pd 0.5000 0.5000 0.5000
```

E_form: -0.24 eV per atom
V: 152 Å³/cell

Entry 4:
Entry from Alexandria: a relaxed NaCaPm2Hg4 crystal (PBE-GGA).

Geometry as CIF:
```
data_NaCaPm2Hg4
_cell_length_a 5.3137
_cell_length_b 5.3137
_cell_length_c 26.0668
_cell_angle_alpha 90.00
_cell_angle_beta 90.00
_cell_angle_gamma 120.00
_space_group_name_H-M_alt 'R -3 m'
_space_group_IT_number 166
_space_group_name_Hall '-R 3 2"'
loop_
_atom_site_label
_atom_site_type_symbol
_atom_site_fract_x
_atom_site_fract_y
_atom_site_fract_z
Na1 Na 0.0000 0.0000 0.0000
Ca1 Ca 0.0000 0.0000 0.5000
Pm1 Pm 0.0000 0.0000 0.2521
Hg1 Hg 0.0000 0.0000 0.1250
Hg2 Hg 0.0000 0.0000 0.3753
```

E_form: -0.45 eV per atom
V: 637 Å³/cell

Entry 5:
Entry from Alexandria: a relaxed NaCaPmHg crystal (PBE-GGA).

Geometry as CIF:
```
data_NaCaPmHg
_cell_length_a 7.7476
_cell_length_b 7.7476
_cell_length_c 7.7476
_cell_angle_alpha 90.00
_cell_angle_beta 90.00
_cell_angle_gamma 90.00
_space_group_name_H-M_alt 'F -4 3 m'
_space_group_IT_number 216
_space_group_name_Hall 'F -4 2 3'
loop_
_atom_site_label
_atom_site_type_symbol
_atom_site_fract_x
_atom_site_fract_y
_atom_site_fract_z
Na1 Na 0.0000 0.0000 0.0000
Ca1 Ca 0.2500 0.2500 0.7500
Pm1 Pm 0.2500 0.2500 0.2500
Hg1 Hg 0.0000 0.0000 0.5000
```

E_form: -0.16 eV per atom
V: 465 Å³/cell

Entry 6:
Entry from Alexandria: a relaxed NaCaPr2Hg4 crystal (PBE-GGA).

Geometry as CIF:
```
data_NaCaPr2Hg4
_cell_length_a 5.3594
_cell_length_b 5.3594
_cell_length_c 26.3177
_cell_angle_alpha 90.00
_cell_angle_beta 90.00
_cell_angle_gamma 120.00
_space_group_name_H-M_alt 'R -3 m'
_space_group_IT_number 166
_space_group_name_Hall '-R 3 2"'
loop_
_atom_site_label
_atom_site_type_symbol
_atom_site_fract_x
_atom_site_fract_y
_atom_site_fract_z
Na1 Na 0.0000 0.0000 0.0000
Ca1 Ca 0.0000 0.0000 0.5000
Pr1 Pr 0.0000 0.0000 0.2520
Hg1 Hg 0.0000 0.0000 0.1252
Hg2 Hg 0.0000 0.0000 0.3755
```

E_form: -0.46 eV per atom
V: 655 Å³/cell

| no. | VASP energy (eV for the cell shown) |
| --- | --- |
| 1 | -43.55 |
| 2 | -34.74 |
| 3 | -10.31 |
| 4 | -52.91 |
| 5 | -35.98 |
| 6 | -53.27 |